Run one
# LiLaPCl2 | Alexandria via LeMat-Bulk | PBE-GGA | relaxed
# - Crystal system: tetragonal
# - Density of states at the Fermi level: 1.11 states/eV/atom
# - Space group: No. 123
data_LiLaPCl2
_space_group_name_H-M_alt 'P 1'
_space_group_IT_number 1
_cell_length_a 5.5772
_cell_length_b 5.5772
_cell_length_c 5.6023
_cell_angle_alpha 90.00
_cell_angle_beta 90.00
_cell_angle_gamma 90.00
loop_
_space_group_symop_operation_xyz
'x,y,z'
loop_
_atom_site_label
_atom_site_fract_x
_atom_site_fract_y
_atom_site_fract_z
P1 0.0000 0.0000 0.5000
Cl1 0.0000 0.5000 0.0000
Cl2 0.5000 0.0000 0.0000
Li1 0.5000 0.5000 0.5000
La1 0.0000 0.0000 0.0000


Run two
# LiLaPCl2 | Alexandria via LeMat-Bulk | PBE-GGA | relaxed
# - Crystal system: tetragonal
# - Density of states at the Fermi level: 0.19 states/eV/atom
# - Space group: No. 123
data_LiLaPCl2
_space_group_name_H-M_alt 'P 1'
_space_group_IT_number 1
_cell_length_a 4.5271
_cell_length_b 4.5271
_cell_length_c 5.2504
_cell_angle_alpha 90.00
_cell_angle_beta 90.00
_cell_angle_gamma 90.00
loop_
_space_group_symop_operation_xyz
'x,y,z'
loop_
_atom_site_label
_atom_site_fract_x
_atom_site_fract_y
_atom_site_fract_z
P1 0.0000 0.0000 0.5000
Cl1 0.0000 0.5000 0.0000
Cl2 0.5000 0.0000 0.0000
Li1 0.0000 0.0000 0.0000
La1 0.5000 0.5000 0.5000


Most favorable structure: run two. The second most favorable one is 0.178 eV/atom above it.


Run one
# LaMgCl3 | Alexandria via LeMat-Bulk | PBE-GGA | relaxed
# - Crystal system: cubic
# - Density of states at the Fermi level: 1.38 states/eV/atom
# - Space group: No. 221
data_LaMgCl3
_space_group_name_H-M_alt 'P 1'
_space_group_IT_number 1
_cell_length_a 4.9692
_cell_length_b 4.9692
_cell_length_c 4.9692
_cell_angle_alpha 90.00
_cell_angle_beta 90.00
_cell_angle_gamma 90.00
loop_
_space_group_symop_operation_xyz
'x,y,z'
loop_
_atom_site_label
_atom_site_fract_x
_atom_site_fract_y
_atom_site_fract_z
Mg1 0.0000 0.0000 0.0000
Cl1 0.0000 0.5000 0.0000
Cl2 0.0000 0.0000 0.5000
Cl3 0.5000 0.0000 0.0000
La1 0.5000 0.5000 0.5000


Run two
# LaMgCl3 | Alexandria via LeMat-Bulk | PBE-GGA | relaxed
# - Crystal system: cubic
# - Density of states at the Fermi level: 0.00 states/eV/atom
# - Space group: No. 221
data_LaMgCl3
_space_group_name_H-M_alt 'P 1'
_space_group_IT_number 1
_cell_length_a 5.6315
_cell_length_b 5.6315
_cell_length_c 5.6315
_cell_angle_alpha 90.00
_cell_angle_beta 90.00
_cell_angle_gamma 90.00
loop_
_space_group_symop_operation_xyz
'x,y,z'
loop_
_atom_site_label
_atom_site_fract_x
_atom_site_fract_y
_atom_site_fract_z
Mg1 0.5000 0.5000 0.5000
Cl1 0.0000 0.5000 0.0000
Cl2 0.0000 0.0000 0.5000
Cl3 0.5000 0.0000 0.0000
La1 0.0000 0.0000 0.0000


Most favorable structure: run two. The second most favorable one is 0.312 eV/atom above it.


Run one
# LaMn2Cl | Alexandria via LeMat-Bulk | PBE-GGA | relaxed
# - Crystal system: monoclinic
# - Density of states at the Fermi level: 0.92 states/eV/atom
# - Space group: No. 10
data_LaMn2Cl
_space_group_name_H-M_alt 'P 1'
_space_group_IT_number 1
_cell_length_a 5.5733
_cell_length_b 3.4412
_cell_length_c 4.4874
_cell_angle_alpha 89.60
_cell_angle_beta 90.00
_cell_angle_gamma 90.00
loop_
_space_group_symop_operation_xyz
'x,y,z'
loop_
_atom_site_label
_atom_site_fract_x
_atom_site_fract_y
_atom_site_fract_z
Cl1 0.5000 0.2500 0.2500
Mn1 0.0000 0.9638 0.9012
Mn2 0.0000 0.5362 0.5988
La1 0.5000 0.7500 0.7500


Run two
# LaMn2Cl | Alexandria via LeMat-Bulk | PBE-GGA | relaxed
# - Crystal system: monoclinic
# - Density of states at the Fermi level: 1.05 states/eV/atom
# - Space group: No. 12
data_LaMn2Cl
_space_group_name_H-M_alt 'P 1'
_space_group_IT_number 1
_cell_length_a 4.4008
_cell_length_b 6.3703
_cell_length_c 3.5450
_cell_angle_alpha 74.26
_cell_angle_beta 88.85
_cell_angle_gamma 109.87
loop_
_space_group_symop_operation_xyz
'x,y,z'
loop_
_atom_site_label
_atom_site_fract_x
_atom_site_fract_y
_atom_site_fract_z
Cl1 0.0000 0.5000 0.5000
Mn1 0.0000 0.0000 0.0000
Mn2 0.5000 0.0000 0.5000
La1 0.5000 0.5000 0.0000


Most favorable structure: run two. The second most favorable one is 0.215 eV/atom above it.


Run one
# LaMn2Cl | Alexandria via LeMat-Bulk | PBE-GGA | relaxed
# - Crystal system: cubic
# - Density of states at the Fermi level: 1.14 states/eV/atom
# - Space group: No. 225
data_LaMn2Cl
_space_group_name_H-M_alt 'P 1'
_space_group_IT_number 1
_cell_length_a 5.0487
_cell_length_b 5.0487
_cell_length_c 5.0487
_cell_angle_alpha 60.00
_cell_angle_beta 60.00
_cell_angle_gamma 60.00
loop_
_space_group_symop_operation_xyz
'x,y,z'
loop_
_atom_site_label
_atom_site_fract_x
_atom_site_fract_y
_atom_site_fract_z
Cl1 0.0000 0.0000 0.0000
Mn1 0.2500 0.2500 0.2500
Mn2 0.7500 0.7500 0.7500
La1 0.5000 0.5000 0.5000


Run two
# LaMn2Cl | Alexandria via LeMat-Bulk | PBE-GGA | relaxed
# - Crystal system: orthorhombic
# - Density of states at the Fermi level: 1.12 states/eV/atom
# - Space group: No. 65
data_LaMn2Cl
_space_group_name_H-M_alt 'P 1'
_space_group_IT_number 1
_cell_length_a 5.8812
_cell_length_b 5.8812
_cell_length_c 3.3985
_cell_angle_alpha 90.00
_cell_angle_beta 90.00
_cell_angle_gamma 123.81
loop_
_space_group_symop_operation_xyz
'x,y,z'
loop_
_atom_site_label
_atom_site_fract_x
_atom_site_fract_y
_atom_site_fract_z
Cl1 0.5000 0.0000 0.5000
Mn1 0.0000 0.0000 0.0000
Mn2 0.5000 0.5000 0.0000
La1 0.0000 0.5000 0.5000


Run three
# LaMn2Cl | Alexandria via LeMat-Bulk | PBE-GGA | relaxed
# - Crystal system: tetragonal
# - Density of states at the Fermi level: 1.36 states/eV/atom
# - Space group: No. 141
data_LaMn2Cl
_space_group_name_H-M_alt 'P 1'
_space_group_IT_number 1
_cell_length_a 4.4961
_cell_length_b 4.4961
_cell_length_c 8.2551
_cell_angle_alpha 74.20
_cell_angle_beta 74.20
_cell_angle_gamma 90.00
loop_
_space_group_symop_operation_xyz
'x,y,z'
loop_
_atom_site_label
_atom_site_fract_x
_atom_site_fract_y
_atom_site_fract_z
Cl1 0.5000 0.5000 0.0000
Cl2 0.2500 0.7500 0.5000
Mn1 0.3751 0.1250 0.2500
Mn2 0.3749 0.6250 0.2500
Mn3 0.3750 0.6249 0.7500
Mn4 0.8750 0.6251 0.7500
La1 0.0000 0.0000 0.0000
La2 0.7500 0.2500 0.5000


Most favorable structure: run two. The second most favorable one is 0.100 eV/atom above it.


Run one
# LaMn2Cl | Alexandria via LeMat-Bulk | PBE-GGA | relaxed
# - Crystal system: orthorhombic
# - Density of states at the Fermi level: 1.25 states/eV/atom
# - Space group: No. 44
data_LaMn2Cl
_space_group_name_H-M_alt 'P 1'
_space_group_IT_number 1
_cell_length_a 5.2043
_cell_length_b 5.2043
_cell_length_c 5.2043
_cell_angle_alpha 136.91
_cell_angle_beta 112.69
_cell_angle_gamma 83.33
loop_
_space_group_symop_operation_xyz
'x,y,z'
loop_
_atom_site_label
_atom_site_fract_x
_atom_site_fract_y
_atom_site_fract_z
Cl1 0.5494 0.5494 0.0000
Mn1 0.9416 0.9416 0.0000
Mn2 0.7553 0.2553 0.5000
La1 0.2538 0.7538 0.5000


Run two
# LaMn2Cl | Alexandria via LeMat-Bulk | PBE-GGA | relaxed
# - Crystal system: monoclinic
# - Density of states at the Fermi level: 1.02 states/eV/atom
# - Space group: No. 8
data_LaMn2Cl
_space_group_name_H-M_alt 'P 1'
_space_group_IT_number 1
_cell_length_a 3.9315
_cell_length_b 3.9315
_cell_length_c 7.2570
_cell_angle_alpha 82.97
_cell_angle_beta 82.97
_cell_angle_gamma 56.05
loop_
_space_group_symop_operation_xyz
'x,y,z'
loop_
_atom_site_label
_atom_site_fract_x
_atom_site_fract_y
_atom_site_fract_z
Cl1 0.5613 0.5613 0.4936
Mn1 0.9975 0.9975 0.8508
Mn2 0.6569 0.6569 0.9431
La1 0.2843 0.2843 0.2125


Most favorable structure: run two. The second most favorable one is 0.213 eV/atom above it.


Run one
# LaMn2Cl | Alexandria via LeMat-Bulk | PBE-GGA | relaxed
# - Crystal system: trigonal
# - Density of states at the Fermi level: 0.98 states/eV/atom
# - Space group: No. 166
data_LaMn2Cl
_space_group_name_H-M_alt 'P 1'
_space_group_IT_number 1
_cell_length_a 9.3648
_cell_length_b 9.3648
_cell_length_c 9.3648
_cell_angle_alpha 20.60
_cell_angle_beta 20.60
_cell_angle_gamma 20.60
loop_
_space_group_symop_operation_xyz
'x,y,z'
loop_
_atom_site_label
_atom_site_fract_x
_atom_site_fract_y
_atom_site_fract_z
Cl1 0.2500 0.2500 0.2500
Mn1 0.9884 0.9884 0.9884
Mn2 0.5116 0.5116 0.5116
La1 0.7500 0.7500 0.7500


Run two
# LaMn2Cl | Alexandria via LeMat-Bulk | PBE-GGA | relaxed
# - Crystal system: orthorhombic
# - Density of states at the Fermi level: 0.78 states/eV/atom
# - Space group: No. 38
data_LaMn2Cl
_space_group_name_H-M_alt 'P 1'
_space_group_IT_number 1
_cell_length_a 3.3005
_cell_length_b 3.3598
_cell_length_c 7.7334
_cell_angle_alpha 77.45
_cell_angle_beta 90.00
_cell_angle_gamma 90.00
loop_
_space_group_symop_operation_xyz
'x,y,z'
loop_
_atom_site_label
_atom_site_fract_x
_atom_site_fract_y
_atom_site_fract_z
Cl1 0.0000 0.3193 0.4860
Mn1 0.0000 0.0379 0.0496
Mn2 0.5000 0.4626 0.1999
La1 0.5000 0.6803 0.7645


Run three
# LaMn2Cl | Alexandria via LeMat-Bulk | PBE-GGA | relaxed
# - Crystal system: orthorhombic
# - Density of states at the Fermi level: 1.04 states/eV/atom
# - Space group: No. 65
data_LaMn2Cl
_space_group_name_H-M_alt 'P 1'
_space_group_IT_number 1
_cell_length_a 3.2935
_cell_length_b 3.2935
_cell_length_c 9.2872
_cell_angle_alpha 90.00
_cell_angle_beta 90.00
_cell_angle_gamma 117.34
loop_
_space_group_symop_operation_xyz
'x,y,z'
loop_
_atom_site_label
_atom_site_fract_x
_atom_site_fract_y
_atom_site_fract_z
Cl1 0.5000 0.5000 0.2500
Mn1 0.0000 0.0000 0.0336
Mn2 0.0000 0.0000 0.4664
La1 0.5000 0.5000 0.7500


Most favorable structure: run two. The second most favorable one is 0.404 eV/atom above it.


Run one
# LaMnCl2 | Alexandria via LeMat-Bulk | PBE-GGA | relaxed
# - Crystal system: monoclinic
# - Density of states at the Fermi level: 0.51 states/eV/atom
# - Space group: No. 12
data_LaMnCl2
_space_group_name_H-M_alt 'P 1'
_space_group_IT_number 1
_cell_length_a 5.0767
_cell_length_b 5.0767
_cell_length_c 5.7012
_cell_angle_alpha 83.12
_cell_angle_beta 83.12
_cell_angle_gamma 42.56
loop_
_space_group_symop_operation_xyz
'x,y,z'
loop_
_atom_site_label
_atom_site_fract_x
_atom_site_fract_y
_atom_site_fract_z
Cl1 0.9697 0.9697 0.0194
Cl2 0.5303 0.5303 0.4806
Mn1 0.7500 0.7500 0.7500
La1 0.2500 0.2500 0.2500


Run two
# LaMnCl2 | Alexandria via LeMat-Bulk | PBE-GGA | relaxed
# - Crystal system: orthorhombic
# - Density of states at the Fermi level: 0.41 states/eV/atom
# - Space group: No. 65
data_LaMnCl2
_space_group_name_H-M_alt 'P 1'
_space_group_IT_number 1
_cell_length_a 3.6012
_cell_length_b 3.6012
_cell_length_c 9.5536
_cell_angle_alpha 90.00
_cell_angle_beta 90.00
_cell_angle_gamma 120.03
loop_
_space_group_symop_operation_xyz
'x,y,z'
loop_
_atom_site_label
_atom_site_fract_x
_atom_site_fract_y
_atom_site_fract_z
Cl1 0.0000 0.0000 0.0154
Cl2 0.0000 0.0000 0.4846
Mn1 0.5000 0.5000 0.7500
La1 0.5000 0.5000 0.2500


Run three
# LaMnCl2 | Alexandria via LeMat-Bulk | PBE-GGA | relaxed
# - Crystal system: monoclinic
# - Density of states at the Fermi level: 0.56 states/eV/atom
# - Space group: No. 10
data_LaMnCl2
_space_group_name_H-M_alt 'P 1'
_space_group_IT_number 1
_cell_length_a 4.6861
_cell_length_b 3.6596
_cell_length_c 5.8822
_cell_angle_alpha 91.85
_cell_angle_beta 90.00
_cell_angle_gamma 90.00
loop_
_space_group_symop_operation_xyz
'x,y,z'
loop_
_atom_site_label
_atom_site_fract_x
_atom_site_fract_y
_atom_site_fract_z
Cl1 0.0000 0.9709 0.0037
Cl2 0.0000 0.5291 0.4963
Mn1 0.5000 0.7500 0.7500
La1 0.5000 0.2500 0.2500


Most favorable structure: run one. The second most favorable one is 0.100 eV/atom above it.


Run one
# La2MnCl | Alexandria via LeMat-Bulk | PBE-GGA | relaxed
# - Crystal system: orthorhombic
# - Density of states at the Fermi level: 0.51 states/eV/atom
# - Space group: No. 44
data_La2MnCl
_space_group_name_H-M_alt 'P 1'
_space_group_IT_number 1
_cell_length_a 8.2422
_cell_length_b 8.2422
_cell_length_c 8.2422
_cell_angle_alpha 153.92
_cell_angle_beta 155.43
_cell_angle_gamma 36.14
loop_
_space_group_symop_operation_xyz
'x,y,z'
loop_
_atom_site_label
_atom_site_fract_x
_atom_site_fract_y
_atom_site_fract_z
Cl1 0.3003 0.8003 0.5000
La1 0.9616 0.9616 0.0000
La2 0.6667 0.1667 0.5000
Mn1 0.5714 0.5714 0.0000


Run two
# La2MnCl | Alexandria via LeMat-Bulk | PBE-GGA | relaxed
# - Crystal system: cubic
# - Density of states at the Fermi level: 1.71 states/eV/atom
# - Space group: No. 225
data_La2MnCl
_space_group_name_H-M_alt 'P 1'
_space_group_IT_number 1
_cell_length_a 5.2695
_cell_length_b 5.2695
_cell_length_c 5.2695
_cell_angle_alpha 60.00
_cell_angle_beta 60.00
_cell_angle_gamma 60.00
loop_
_space_group_symop_operation_xyz
'x,y,z'
loop_
_atom_site_label
_atom_site_fract_x
_atom_site_fract_y
_atom_site_fract_z
Cl1 0.0000 0.0000 0.0000
Mn1 0.5000 0.5000 0.5000
La1 0.2500 0.2500 0.2500
La2 0.7500 0.7500 0.7500


Most favorable structure: run one. The second most favorable one is 0.227 eV/atom above it.